GdMnZn2: relaxed, GGA-PBE.

Calculated values
The calculation puts the formation energy at -0.082 eV per atom. Its calculated volume is 303 Å³ per cell. The value obtained for the density of states at the Fermi level is 10.94 states/eV per cell. The calculation puts the total DFT energy (no corrections) at -0.4800 Ry/atom.

a b c (Å): 6.7145 6.7145 6.7145
angles (deg): 90.00 90.00 90.00
With the nearest neighbours (Å) after each atom.
Space group Fm-3m (No. 225)
Asymmetric unit:
Gd: 0.0000 0.0000 0.0000 (multiplicity 4)  8 Zn 2.91
Mn: 0.0000 0.0000 0.5000 (multiplicity 4)  8 Zn 2.91
Zn: 0.2500 0.2500 0.2500 (multiplicity 8)  4 Gd 2.91, 4 Mn 2.91

=====

CsMg4As3: relaxed, GGA-PBE.

Calculated values
The calculation puts the formation energy at -0.636 eV per atom. Its calculated volume is 663 Å³ per cell. The calculation puts the total DFT energy (no corrections) at -0.2413 Ry/atom.

a b c (Å): 4.4650 4.4650 38.3745
angles (deg): 90.00 90.00 120.00
With the nearest neighbours (Å) after each atom.
Space group R-3m (No. 166, hexagonal axes)
Asymmetric unit:
Cs: 0.0000 0.0000 0.0000 (multiplicity 3)  6 As 3.74, 6 Mg 4.16
Mg: 0.0000 0.0000 0.1957 (multiplicity 6)  4 As 2.57-2.81
Mg: 0.0000 0.0000 0.4184 (multiplicity 6)  3 As 2.64
As: 0.0000 0.0000 0.2628 (multiplicity 6)  4 Mg 2.57-2.64
As: 0.0000 0.0000 0.5000 (multiplicity 3)  8 Mg 2.81-3.13

=====

Sc4CdAg: relaxed, GGA-PBE.

Calculated values
The calculation puts the formation energy at -0.167 eV per atom. The energy above the most stable polymorph in this dataset is 0 meV/atom. Its calculated volume is 135 Å³ per cell. The value obtained for the density of states at the Fermi level is 5.94 states/eV per cell. The calculation puts the total DFT energy (no corrections) at -0.3687 Ry/atom.

a b c (Å): 3.3320 3.3320 12.1503
angles (deg): 90.00 90.00 90.00
With the nearest neighbours (Å) after each atom.
Space group P4/mmm (No. 123)
Asymmetric unit:
Sc: 0.0000 0.0000 0.1499 (multiplicity 2)  4 Ag 2.98, 8 Sc 3.24-3.33
Sc: 0.5000 0.5000 0.3333 (multiplicity 2)  4 Cd 3.11, 8 Sc 3.24-3.33
Cd: 0.0000 0.0000 0.5000 (multiplicity 1)  8 Sc 3.11, 4 Cd 3.33
Ag: 0.5000 0.5000 0.0000 (multiplicity 1)  8 Sc 2.98, 4 Ag 3.33

=====

Cs2GaPtI: relaxed, GGA-PBE.

Calculated values
Its calculated volume is 223 Å³ per cell. The value obtained for the density of states at the Fermi level is 1.13 states/eV per cell. The calculation puts the total DFT energy (no corrections) at -0.2296 Ry/atom. The value obtained for the energy relative to the elements, uncorrected is -0.658 eV per atom.

a b c (Å): 6.7961 6.7961 4.8369
angles (deg): 90.00 90.00 90.00
With the nearest neighbours (Å) after each atom.
Space group P4/mmm (No. 123)
Asymmetric unit:
Cs: 0.0000 0.5000 0.0000 (multiplicity 2)  2 Pt 3.40
Ga: 0.0000 0.0000 0.5000 (multiplicity 1)  2 Pt 2.42
Pt: 0.0000 0.0000 0.0000 (multiplicity 1)  2 Ga 2.42
I: 0.5000 0.5000 0.5000 (multiplicity 1)  8 Cs 4.17

=====

Ce2NdN2: relaxed, GGA-PBE.

Calculated values
Its calculated volume is 262 Å³ per cell. The value obtained for the density of states at the Fermi level is 20.69 states/eV per cell. The calculation puts the total DFT energy (no corrections) at -0.5700 Ry/atom. The value obtained for the energy relative to the elements, uncorrected is -1.098 eV per atom.

a b c (Å): 3.5254 3.5254 24.3255
angles (deg): 90.00 90.00 120.00
With the nearest neighbours (Å) after each atom.
Space group R-3m (No. 166, hexagonal axes)
Asymmetric unit:
Ce: 0.0000 0.0000 0.2126 (multiplicity 6)  3 N 2.43
Nd: 0.0000 0.0000 0.0000 (multiplicity 3)  6 N 2.60
N: 0.0000 0.0000 0.3997 (multiplicity 6)  3 Ce 2.43, 3 Nd 2.60

=====

Sm3InOs: relaxed, GGA-PBE.

Calculated values
The calculation puts the formation energy at -0.282 eV per atom. The energy above the most stable polymorph in this dataset is 0 meV/atom. Its calculated volume is 1083 Å³ per cell. The value obtained for the density of states at the Fermi level is 27.65 states/eV per cell. The calculation puts the total DFT energy (no corrections) at -0.4341 Ry/atom.

a b c (Å): 6.6987 9.8648 16.3935
angles (deg): 90.00 90.00 90.00
With the nearest neighbours (Å) after each atom.
Space group Fmmm (No. 69)
Asymmetric unit:
Sm: 0.0000 0.0000 0.2010 (multiplicity 8)  4 Os 3.09, 2 Sm 3.37
Sm: 0.0000 0.1936 0.3898 (multiplicity 16)  2 Os 2.89
In: 0.2069 0.0000 0.0000 (multiplicity 8)  1 In 2.77
Os: 0.2500 0.2500 0.2500 (multiplicity 8)  8 Sm 2.89-3.09

=====

Li2MgVMo: relaxed, GGA-PBE.

Calculated values
The calculation puts the formation energy at 0.915 eV per atom. Its calculated volume is 101 Å³ per cell. The value obtained for the density of states at the Fermi level is 3.15 states/eV per cell. The calculation puts the total DFT energy (no corrections) at -0.3057 Ry/atom.

a b c (Å): 4.8092 4.8092 4.3861
angles (deg): 90.00 90.00 90.00
With the nearest neighbours (Å) after each atom.
Space group P4/mmm (No. 123)
Asymmetric unit:
Li: 0.0000 0.5000 0.0000 (multiplicity 2)  2 V 2.40
Mg: 0.0000 0.0000 0.5000 (multiplicity 1)  8 Li 3.25, 4 Mo 3.40
V: 0.5000 0.5000 0.0000 (multiplicity 1)  2 Mo 2.19, 4 Li 2.40
Mo: 0.5000 0.5000 0.5000 (multiplicity 1)  2 V 2.19

=====

LiRuCl2: relaxed, GGA-PBE.

Calculated values
The energy above the most stable polymorph in this dataset is 213 meV/atom. Its calculated volume is 85 Å³ per cell. The value obtained for the density of states at the Fermi level is 4.08 states/eV per cell. The calculation puts the total DFT energy (no corrections) at -0.2922 Ry/atom. The value obtained for the energy relative to the elements, uncorrected is -0.255 eV per atom.

a b c (Å): 3.2861 3.6331 7.0825
angles (deg): 90.00 90.00 90.00
With the nearest neighbours (Å) after each atom.
Space group Pmmm (No. 47)
Asymmetric unit:
Li: 0.0000 0.0000 0.0000 (multiplicity 1)  4 Cl 2.45
Ru: 0.0000 0.5000 0.5000 (multiplicity 1)  4 Cl 2.45
Cl: 0.5000 0.0000 0.5000 (multiplicity 1)  4 Ru 2.45
Cl: 0.5000 0.5000 0.0000 (multiplicity 1)  4 Li 2.45

=====

Q: What is the total DFT energy (no corrections) in the sixth record?
A: -0.4341 Ry/atom

=====

Q: What is the calculated volume in the second record?
A: 663 Å³ per cell